{
  "formula": "Ir2OsRu",
  "functional": "SCAN",
  "state": "PBEsol geometry",
  "cell": [[-2.420, 1.369, -2.593], [-2.909, -1.549, 1.896], [2.288, 3.299, 2.393]],
  "species": ["Ru", "Os", "Ir", "Ir"],
  "frac_coords": [[0.000, 0.000, 0.000], [0.500, 0.500, 0.000], [0.250, 0.750, 0.500], [0.750, 0.250, 0.500]],
  "dos_ef_per_ev_cell": 2.93,
  "delta_e_f_kcal_per_mol_atoms": -0.3,
  "e_above_lowest_polymorph_ev_per_atom": 0.004,
  "space_group": "I4/mmm, No. 139"
}